The following is a DFT calculation (GGA-PBE) of a geometry-optimized CeGe2MoRu structure.

space group = I-4m2, No. 119
ΔH_f (0 K) = -0.405 eV per atom

extended XYZ file:
```
5
Lattice="-2.099 2.099 5.366 2.099 -2.099 5.366 2.099 2.099 -5.366" Properties=species:S:1:pos:R:3 pbc="T T T"
Ce 0.000 0.000 0.000
Ge 0.000 0.000 4.082
Ge 0.000 0.000 6.649
Mo 0.000 2.099 2.683
Ru 2.099 0.000 2.683
```

---

The following is a DFT calculation (GGA-PBE) of a geometry-optimized CeTcGe2Mo structure.

space group = I-4m2, No. 119
ΔH_f (0 K) = -0.348 eV per atom

extended XYZ file:
```
5
Lattice="-2.042 2.042 5.652 2.042 -2.042 5.652 2.042 2.042 -5.652" Properties=species:S:1:pos:R:3 pbc="T T T"
Ce 0.000 0.000 0.000
Tc 0.000 2.042 2.826
Ge 0.000 0.000 4.365
Ge 0.000 0.000 6.939
Mo 2.042 0.000 2.826
```

---

The following is a DFT calculation (GGA-PBE) of a geometry-optimized Ce2GeN structure.

space group = R3m, No. 160
formation energy (no corrections) = -71 kJ per mole of atoms

extended XYZ file:
```
4
Lattice="1.758 1.015 7.656 -1.758 1.015 7.656 0.000 -2.030 7.656" Properties=species:S:1:pos:R:3 pbc="T T T"
Ce 0.000 0.000 0.000
Ce 0.000 0.000 3.060
Ge 0.000 0.000 13.017
N 0.000 0.000 16.861
```

---

The following is a DFT calculation (GGA-PBE) of a geometry-optimized Ce5Ge2N2 structure.

space group = Ima2, No. 46
formation energy (no corrections) = -88 kJ per mole of atoms

extended XYZ file:
```
18
Lattice="-9.620 3.469 3.258 9.620 -3.469 3.258 9.620 3.469 -3.258" Properties=species:S:1:pos:R:3 pbc="T T T"
Ce 4.810 2.770 -1.237
Ce 0.196 1.737 0.000
Ce 9.424 1.737 0.000
Ce 4.810 0.699 2.021
Ce -2.734 3.173 1.670
Ce 2.734 -0.296 4.928
Ce 0.196 1.732 3.258
Ce 9.424 1.732 3.258
Ce 2.734 3.765 1.670
Ce 6.886 3.765 1.670
Ge 2.029 -0.189 1.618
Ge 7.591 -0.189 1.618
Ge 7.591 3.657 -1.641
Ge 11.648 0.189 1.618
N 4.810 2.832 1.141
N 0.000 3.469 1.625
N 0.000 0.000 4.884
N 4.810 0.637 4.399
```

---

The following is a DFT calculation (GGA-PBE) of a geometry-optimized Ce2GeN structure.

space group = Cmcm, No. 63
formation energy (no corrections) = -74 kJ per mole of atoms

extended XYZ file:
```
8
Lattice="1.636 -8.176 0.000 1.636 8.176 0.000 0.000 0.000 6.416" Properties=species:S:1:pos:R:3 pbc="T T T"
Ce 0.000 0.000 0.000
Ce 0.000 0.000 3.208
Ce 1.636 5.261 4.812
Ce 1.636 -5.261 1.604
Ge 1.636 5.539 1.604
Ge 1.636 -5.539 4.812
N 1.636 1.039 1.604
N 1.636 -1.039 4.812
```

---

The following is a DFT calculation (GGA-PBE) of a geometry-optimized Ce6Ge3N structure.

space group = C2/m, No. 12
formation energy (no corrections) = -59 kJ per mole of atoms

extended XYZ file:
```
10
Lattice="5.388 -3.128 0.000 5.388 3.128 0.000 -1.356 0.000 7.081" Properties=species:S:1:pos:R:3 pbc="T T T"
Ce 3.347 1.683 4.509
Ce 6.074 1.683 2.572
Ce 3.656 0.000 0.959
Ce 5.765 0.000 6.122
Ce 3.347 -1.683 4.509
Ce 6.074 -1.683 2.572
Ge 0.000 0.000 0.000
Ge 0.788 0.000 5.258
Ge 8.634 0.000 1.823
N 4.711 0.000 3.541
```

---

The following is a DFT calculation (GGA-PBE) of a geometry-optimized Ce2GeN structure.

space group = C2/c, No. 15
formation energy (no corrections) = -92 kJ per mole of atoms

extended XYZ file:
```
8
Lattice="6.037 -2.661 0.000 6.037 2.661 0.000 -0.021 0.000 5.653" Properties=species:S:1:pos:R:3 pbc="T T T"
Ce 4.681 1.494 5.646
Ce 7.359 1.494 2.834
Ce 4.692 -1.494 2.819
Ce 7.370 -1.494 0.007
Ge 3.008 1.331 2.827
Ge 3.018 -1.331 0.000
N 6.031 2.658 1.413
N 6.020 -2.658 4.240
```

---

The following is a DFT calculation (GGA-PBE) of a geometry-optimized Ce4GeN structure.

space group = P2/c, No. 13
formation energy (no corrections) = -54 kJ per mole of atoms

extended XYZ file:
```
12
Lattice="8.527 0.000 0.000 0.000 3.630 0.000 -4.501 0.000 8.248" Properties=species:S:1:pos:R:3 pbc="T T T"
Ce 0.198 3.629 1.659
Ce -2.052 0.002 5.783
Ce 0.336 1.812 3.827
Ce -1.914 1.818 7.950
Ce 5.941 1.812 0.297
Ce 3.691 1.818 4.421
Ce 6.079 3.629 2.465
Ce 3.828 0.002 6.589
Ge 3.139 0.005 2.062
Ge 0.888 3.626 6.186
N 0.000 1.815 0.000
N -2.250 1.815 4.124
```

---

The following is a DFT calculation (GGA-PBE) of a geometry-optimized Ce2GeN structure.

space group = P4/mmm, No. 123
formation energy (no corrections) = -71 kJ per mole of atoms

extended XYZ file:
```
4
Lattice="3.116 0.000 0.000 0.000 3.116 0.000 0.000 0.000 7.446" Properties=species:S:1:pos:R:3 pbc="T T T"
Ce 0.000 0.000 1.476
Ce 0.000 0.000 5.971
Ge 1.558 1.558 3.723
N 1.558 1.558 0.000
```

---

The following is a DFT calculation (GGA-PBE) of a geometry-optimized Ce2GeN structure.

space group = R-3m, No. 166
formation energy (no corrections) = -93 kJ per mole of atoms

extended XYZ file:
```
4
Lattice="1.801 1.040 7.341 -1.801 1.040 7.341 0.000 -2.079 7.341" Properties=species:S:1:pos:R:3 pbc="T T T"
Ce 0.000 0.000 5.068
Ce 0.000 0.000 16.955
Ge 0.000 0.000 0.000
N 0.000 0.000 11.012
```

---

The following is a DFT calculation (GGA-PBE) of a geometry-optimized Ce3GeN3 structure.

space group = R-3, No. 148
formation energy (no corrections) = -112 kJ per mole of atoms

extended XYZ file:
```
14
Lattice="3.377 1.950 7.388 -3.377 1.950 7.388 0.000 -3.900 7.388" Properties=species:S:1:pos:R:3 pbc="T T T"
Ce -2.328 -0.014 8.806
Ce -1.152 -2.024 13.357
Ce 1.177 -2.009 8.806
Ce -1.177 2.009 13.357
Ce 1.152 2.024 8.806
Ce 2.328 0.014 13.357
Ge 0.000 0.000 3.688
Ge 0.000 0.000 18.475
N -1.052 -1.901 8.299
N -2.172 -0.039 13.864
N -1.120 1.862 8.299
N 1.120 -1.862 13.864
N 2.172 0.039 8.299
N 1.052 1.901 13.864
```

---

The following is a DFT calculation (GGA-PBE) of a geometry-optimized Ce2NbGeN5 structure.

space group = Cmc2_1, No. 36
formation energy (no corrections) = -96 kJ per mole of atoms

extended XYZ file:
```
18
Lattice="1.619 -6.956 0.000 1.619 6.956 0.000 0.000 0.000 10.292" Properties=species:S:1:pos:R:3 pbc="T T T"
Ce 1.619 5.245 5.146
Ce 1.619 5.076 0.677
Ce 1.619 -5.076 5.824
Ce 1.619 -5.245 0.000
Nb 1.619 3.839 8.120
Nb 1.619 -3.839 2.974
Ge 1.619 0.083 2.664
Ge 1.619 -0.083 7.810
N 1.619 6.174 8.517
N 1.619 2.964 4.422
N 1.619 2.810 1.557
N 1.619 1.815 8.161
N 1.619 0.001 0.782
N 1.619 -0.001 5.928
N 1.619 -1.815 3.015
N 1.619 -2.810 6.703
N 1.619 -2.964 9.568
N 1.619 -6.174 3.371
```

---

The following is a DFT calculation (GGA-PBE) of a geometry-optimized CeNd2GeN4 structure.

space group = Cmcm, No. 63
formation energy (no corrections) = -85 kJ per mole of atoms

extended XYZ file:
```
16
Lattice="1.807 -5.856 0.000 1.807 5.856 0.000 0.000 0.000 12.132" Properties=species:S:1:pos:R:3 pbc="T T T"
Ce 1.807 4.699 9.099
Ce 1.807 -4.699 3.033
Nd 1.807 1.536 6.609
Nd 1.807 1.536 11.589
Nd 1.807 -1.536 0.543
Nd 1.807 -1.536 5.523
Ge 1.807 3.906 3.033
Ge 1.807 -3.906 9.099
N 0.000 0.000 0.000
N 0.000 0.000 6.066
N 1.807 2.638 1.622
N 1.807 2.638 4.443
N 1.807 0.931 9.099
N 1.807 -0.931 3.033
N 1.807 -2.638 7.688
N 1.807 -2.638 10.509
```

---

The following is a DFT calculation (GGA-PBE) of a geometry-optimized CeNiGeN structure.

space group = P4/nmm, No. 129
formation energy (no corrections) = -84 kJ per mole of atoms

extended XYZ file:
```
8
Lattice="3.783 0.000 0.000 0.000 3.783 0.000 0.000 0.000 8.544" Properties=species:S:1:pos:R:3 pbc="T T T"
Ce 0.946 0.946 1.294
Ce 2.837 2.837 7.250
Ni 0.946 2.837 4.272
Ni 2.837 0.946 4.272
Ge 0.946 0.946 5.614
Ge 2.837 2.837 2.930
N 0.946 0.946 7.548
N 2.837 2.837 0.996
```

---

The following is a DFT calculation (GGA-PBE) of a geometry-optimized CeNi2GeN structure.

space group = Cmcm, No. 63
formation energy (no corrections) = -77 kJ per mole of atoms

extended XYZ file:
```
10
Lattice="1.746 -5.759 0.000 1.746 5.759 0.000 0.000 0.000 6.967" Properties=species:S:1:pos:R:3 pbc="T T T"
Ce 1.746 5.398 5.225
Ce 1.746 -5.398 1.742
Ni 1.746 1.909 3.839
Ni 1.746 1.909 6.612
Ni 1.746 -1.909 0.355
Ni 1.746 -1.909 3.129
Ge 1.746 3.033 1.742
Ge 1.746 -3.033 5.225
N 1.746 0.000 0.000
N 1.746 0.000 3.484
```

---

The following is a DFT calculation (GGA-PBE) of a geometry-optimized Ce4GeP2N structure.

space group = Cmcm, No. 63
formation energy (no corrections) = -115 kJ per mole of atoms

extended XYZ file:
```
16
Lattice="2.034 -6.661 0.000 2.034 6.661 0.000 0.000 0.000 14.244" Properties=species:S:1:pos:R:3 pbc="T T T"
Ce 0.000 0.000 0.000
Ce 0.000 0.000 7.122
Ce 2.034 3.070 8.928
Ce 2.034 3.070 12.439
Ce 2.034 0.951 3.561
Ce 2.034 -0.951 10.683
Ce 2.034 -3.070 1.806
Ce 2.034 -3.070 5.317
Ge 2.034 5.250 3.561
Ge 2.034 -5.250 10.683
P 2.034 1.835 0.810
P 2.034 1.835 6.312
P 2.034 -1.835 7.933
P 2.034 -1.835 13.434
N 2.034 4.502 10.683
N 2.034 -4.502 3.561
```

---

The following is a DFT calculation (GGA-PBE) of a geometry-optimized CePaGeN structure.

space group = P4/nmm, No. 129
formation energy (no corrections) = -96 kJ per mole of atoms

extended XYZ file:
```
8
Lattice="4.038 0.000 0.000 0.000 4.038 0.000 0.000 0.000 9.722" Properties=species:S:1:pos:R:3 pbc="T T T"
Ce 1.010 3.029 0.000
Ce 3.029 1.010 0.000
Pa 1.010 1.010 3.733
Pa 3.029 3.029 5.988
Ge 1.010 1.010 7.482
Ge 3.029 3.029 2.240
N 1.010 3.029 4.861
N 3.029 1.010 4.861
```

---

The following is a DFT calculation (GGA-PBE) of a geometry-optimized Ce2Pa4Ge3N2 structure.

space group = I4/mmm, No. 139
formation energy (no corrections) = -78 kJ per mole of atoms

extended XYZ file:
```
11
Lattice="-2.298 2.298 11.915 2.298 -2.298 11.915 2.298 2.298 -11.915" Properties=species:S:1:pos:R:3 pbc="T T T"
Ce 0.000 0.000 4.737
Ce 0.000 0.000 19.093
Pa 2.298 0.000 1.953
Pa 2.298 0.000 9.962
Pa 0.000 2.298 1.953
Pa 0.000 2.298 9.962
Ge 0.000 0.000 7.851
Ge 0.000 0.000 11.915
Ge 0.000 0.000 15.979
N 0.000 0.000 2.104
N 0.000 0.000 21.726
```

---

The following is a DFT calculation (GGA-PBE) of a geometry-optimized Ce6GePb2N structure.

space group = P4/mmm, No. 123
formation energy (no corrections) = -44 kJ per mole of atoms

extended XYZ file:
```
10
Lattice="5.317 0.000 0.000 0.000 5.317 0.000 0.000 0.000 10.244" Properties=species:S:1:pos:R:3 pbc="T T T"
Ce 0.000 0.000 2.288
Ce 0.000 0.000 7.956
Ce 0.000 2.658 0.000
Ce 0.000 2.658 5.122
Ce 2.658 0.000 0.000
Ce 2.658 0.000 5.122
Ge 0.000 0.000 5.122
Pb 2.658 2.658 2.519
Pb 2.658 2.658 7.725
N 0.000 0.000 0.000
```

---

The following is a DFT calculation (GGA-PBE) of a geometry-optimized Ce4GePbN structure.

space group = Cmcm, No. 63
formation energy (no corrections) = -71 kJ per mole of atoms

extended XYZ file:
```
14
Lattice="3.379 -8.010 0.000 3.379 8.010 0.000 0.000 0.000 6.770" Properties=species:S:1:pos:R:3 pbc="T T T"
Ce 1.690 4.005 0.000
Ce 1.690 4.005 3.385
Ce 3.379 6.723 5.078
Ce 3.379 1.526 5.078
Ce 1.690 -4.005 0.000
Ce 1.690 -4.005 3.385
Ce 3.379 -1.526 1.693
Ce 3.379 -6.723 1.693
Ge 3.379 6.134 1.693
Ge 3.379 -6.134 5.078
Pb 3.379 1.667 1.693
Pb 3.379 -1.667 5.078
N 3.379 4.148 5.078
N 3.379 -4.148 1.693
```

---

The following is a DFT calculation (GGA-PBE) of a geometry-optimized Ce2PmGeN5 structure.

space group = Cmc2_1, No. 36
formation energy (no corrections) = -91 kJ per mole of atoms

extended XYZ file:
```
18
Lattice="1.673 -8.353 0.000 1.673 8.353 0.000 0.000 0.000 9.478" Properties=species:S:1:pos:R:3 pbc="T T T"
Ce 1.673 6.727 4.739
Ce 1.673 6.581 1.139
Ce 1.673 -6.581 5.878
Ce 1.673 -6.727 0.000
Pm 1.673 4.677 7.840
Pm 1.673 -4.677 3.101
Ge 1.673 0.887 2.644
Ge 1.673 -0.887 7.383
N 1.673 7.759 8.290
N 1.673 3.021 4.845
N 1.673 2.567 1.742
N 1.673 2.282 8.016
N 1.673 0.071 5.766
N 1.673 -0.071 1.027
N 1.673 -2.282 3.277
N 1.673 -2.567 6.481
N 1.673 -3.021 0.106
N 1.673 -7.759 3.551
```

---

The following is a DFT calculation (GGA-PBE) of a geometry-optimized Ce4Pm2Ge3N2 structure.

space group = I4/mmm, No. 139
formation energy (no corrections) = -92 kJ per mole of atoms

extended XYZ file:
```
11
Lattice="-2.316 2.316 12.298 2.316 -2.316 12.298 2.316 2.316 -12.298" Properties=species:S:1:pos:R:3 pbc="T T T"
Ce 2.316 0.000 2.017
Ce 2.316 0.000 10.281
Ce 0.000 2.316 2.017
Ce 0.000 2.316 10.281
Pm 0.000 0.000 4.918
Pm 0.000 0.000 19.679
Ge 0.000 0.000 8.018
Ge 0.000 0.000 12.298
Ge 0.000 0.000 16.579
N 0.000 0.000 2.527
N 0.000 0.000 22.070
```